Record 1
Below is crystalline HfGePIr2 at its relaxed geometry, with properties calculated at the GGA-PBE level.

a = 4.481 Å, b = 4.481 Å, c = 5.072 Å
α = 90.00°, β = 90.00°, γ = 90.00°
Space group P4/mmm (No. 123)
Inequivalent atoms, fractional coordinates:
Hf  0.000  0.000  0.000 [1 per cell]
Ge  0.000  0.000  0.500 [1 per cell]
P  0.500  0.500  0.000 [1 per cell]
Ir  0.000  0.500  0.500 [2 per cell]

Results
The calculation puts the formation energy at 0.90 eV/atom. Its crystal system is tetragonal.

=====

Record 2
Below is crystalline PrErSc2Au4 at its relaxed geometry, with properties calculated at the GGA-PBE level.

a = 4.8275 Å, b = 4.8275 Å, c = 26.9645 Å
α = 90.00°, β = 90.00°, γ = 120.00°
Space group R-3m (No. 166, hexagonal axes)
Inequivalent atoms, fractional coordinates:
Pr  0.0000  0.0000  0.0000 [3 per cell]
Er  0.0000  0.0000  0.5000 [3 per cell]
Sc  0.0000  0.0000  0.2452 [6 per cell]
Au  0.0000  0.0000  0.1184 [6 per cell]
Au  0.0000  0.0000  0.3923 [6 per cell]

Results
The calculation puts the formation energy at -0.78 eV/atom. Its crystal system is trigonal.

=====

Record 3
Below is crystalline Zr2TlReBi at its relaxed geometry, with properties calculated at the GGA-PBE level.

a = 5.159 Å, b = 5.159 Å, c = 5.230 Å
α = 90.00°, β = 90.00°, γ = 90.00°
Space group P4/mmm (No. 123)
Inequivalent atoms, fractional coordinates:
Zr  0.000  0.500  0.000 [2 per cell]
Tl  0.000  0.000  0.500 [1 per cell]
Re  0.500  0.500  0.000 [1 per cell]
Bi  0.500  0.500  0.500 [1 per cell]

Results
The calculation puts the formation energy at 0.56 eV/atom. Its crystal system is tetragonal.

=====

- Which formula does entry 2 have?
  PrErSc2Au4

=====

- Number 3 is which compound?
  Zr2TlReBi